# LiVC2O6 (PBE with a Hubbard U, optimized geometry)
data_LiVC2O6
_symmetry_space_group_name_H-M 'R 3 2'
_symmetry_Int_Tables_number 155
_symmetry_space_group_name_Hall 'R 3 2"'
_cell_length_a 4.6736
_cell_length_b 4.6736
_cell_length_c 16.2361
_cell_angle_alpha 90.00
_cell_angle_beta 90.00
_cell_angle_gamma 120.00
loop_
_atom_site_label
_atom_site_type_symbol
_atom_site_fract_x
_atom_site_fract_y
_atom_site_fract_z
_atom_site_occupancy
Li1 Li 0.0000 0.0000 0.0000 1
V1 V 0.0000 0.0000 0.5000 1
C1 C 0.0000 0.0000 0.2448 1
O1 O 0.0284 0.2903 0.2459 1
# DOS at the Fermi energy (states/eV/atom): 0.35
# Relative energy among the computed polymorphs (eV/atom): 0.132